A plane-wave DFT calculation with PBE-GGA was carried out for crystalline Ti2Nb3Cu2 at its relaxed geometry.

a b c (Å): 2.821 4.482 9.271
angles (deg): 103.94 90.71 90.02
Space group P-1 (No. 2)
One atom of each set of equivalent atoms:
Ti (0.063, 0.340, 0.179) (multiplicity 2)
Nb (0.185, 0.074, 0.649) (multiplicity 2)
Nb (0.500, 0.500, 0.500) (multiplicity 1)
Cu (0.467, 0.788, 0.075) (multiplicity 2)

Summary:
Calculated volume ... 16.25 Å³ per atom
Final energy ... -7.741 eV per atom
Formation enthalpy at 0 K ... 0.00 eV/atom